No. 1
Computed, not measured: a geometry-optimized AcPmNiPt structure at the PBE-GGA level of DFT.

Calculated values
magnetic moment	0.0	μB per cell
polymorph energy (0 for the lowest one)	0.134	eV per atom
DOS at the Fermi energy	4.0	states/eV/cell
energy of formation from the pure elements	-0.5800	eV/atom

Lattice parameters (Å, degrees): 5.1551 5.1551 5.1551 60.00 60.00 60.00
With the nearest neighbours (Å) after each atom.
Fractional coordinates of all 4 atoms:
1 Ac 0.5000 0.5000 0.5000  4 Ni 3.16, 4 Pt 3.16
2 Pt 0.7500 0.7500 0.7500  4 Ac 3.16, 4 Pm 3.16
3 Ni 0.2500 0.2500 0.2500  4 Pm 3.16, 4 Ac 3.16
4 Pm 0.0000 0.0000 0.0000  4 Pt 3.16, 4 Ni 3.16



No. 2
Computed, not measured: a geometry-optimized AcPmNiPt structure at the PBE-GGA level of DFT.

Calculated values
magnetic moment	0.0	μB per cell
polymorph energy (0 for the lowest one)	0.000	eV per atom
DOS at the Fermi energy	2.5	states/eV/cell
energy of formation from the pure elements	-0.7139	eV/atom

Lattice parameters (Å, degrees): 4.0326 4.5385 5.8042 90.00 110.33 90.00
With the nearest neighbours (Å) after each atom.
Fractional coordinates of all 4 atoms:
1 Pt 0.4238 0.0000 0.8476  2 Ni 2.85, 3 Pm 3.05-3.15, 4 Ac 3.12
2 Ac 0.8591 0.5000 0.7183  3 Ni 3.01-3.16, 4 Pt 3.12
3 Ni 0.5826 0.5000 0.1651  2 Pt 2.85, 3 Ac 3.01-3.16, 4 Pm 3.09
4 Pm 0.1345 0.0000 0.2690  3 Pt 3.05-3.15, 4 Ni 3.09



No. 3
Computed, not measured: a geometry-optimized AcPmNiRu structure at the PBE-GGA level of DFT.

Calculated values
magnetic moment	0.0	μB per cell
DOS at the Fermi energy	4.5	states/eV/cell
energy of formation from the pure elements	-0.1019	eV/atom

Lattice parameters (Å, degrees): 5.0695 5.0695 5.0695 60.00 60.00 60.00
With the nearest neighbours (Å) after each atom.
Fractional coordinates of all 4 atoms:
1 Pm 0.5000 0.5000 0.5000  4 Ru 3.10, 4 Ni 3.10
2 Ni 0.2500 0.2500 0.2500  4 Pm 3.10, 4 Ac 3.10
3 Ru 0.7500 0.7500 0.7500  4 Pm 3.10, 4 Ac 3.10
4 Ac 0.0000 0.0000 0.0000  4 Ru 3.10, 4 Ni 3.10



No. 4
Computed, not measured: a geometry-optimized AcPmNiSb structure at the PBE-GGA level of DFT.

Calculated values
magnetic moment	0.7	μB per cell
energy relative to the elements, uncorrected	-396	meV per atom
DOS at the Fermi energy	4.2	states/eV/cell

Lattice parameters (Å, degrees): 5.4027 5.4027 5.4027 60.00 60.00 60.00
With the nearest neighbours (Å) after each atom.
Fractional coordinates of all 4 atoms:
1 Sb 0.5000 0.5000 0.5000  4 Ac 3.31, 4 Pm 3.31
2 Ac 0.7500 0.7500 0.7500  4 Ni 3.31, 4 Sb 3.31
3 Pm 0.2500 0.2500 0.2500  4 Sb 3.31, 4 Ni 3.31
4 Ni 0.0000 0.0000 0.0000  4 Ac 3.31, 4 Pm 3.31



No. 5
Computed, not measured: a geometry-optimized Ac2PmSi3Ni12 structure at the PBE-GGA level of DFT.

Calculated values
magnetic moment	0.0	μB per cell
energy relative to the elements, uncorrected	24	meV per atom
DOS at the Fermi energy	16.3	states/eV/cell

Lattice parameters (Å, degrees): 7.9459 7.9459 7.9459 56.60 56.60 56.60
With the nearest neighbours (Å) after each atom.
Fractional coordinates of all 18 atoms:
1 Ni 0.4956 0.8393 0.8393  1 Si 2.27, 2 Ni 2.47
2 Ni 0.1607 0.1607 0.5044  1 Si 2.27, 2 Ni 2.47
3 Ni 0.3493 0.3493 0.8788  2 Si 2.18
4 Ni 0.8393 0.4956 0.8393  1 Si 2.27, 2 Ni 2.47
5 Ni 0.8393 0.8393 0.4956  1 Si 2.27, 2 Ni 2.47
6 Ni 0.1607 0.5044 0.1607  1 Si 2.27, 2 Ni 2.47
7 Ni 0.5044 0.1607 0.1607  1 Si 2.27, 2 Ni 2.47
8 Ni 0.6507 0.6507 0.1212  2 Si 2.18
9 Ni 0.3493 0.8788 0.3493  2 Si 2.18
10 Ni 0.6507 0.1212 0.6507  2 Si 2.18
11 Ni 0.8788 0.3493 0.3493  2 Si 2.18
12 Ni 0.1212 0.6507 0.6507  2 Si 2.18
13 Ac 0.6025 0.6025 0.6025  6 Ni 2.76-2.86
14 Ac 0.3975 0.3975 0.3975  6 Ni 2.76-2.86
15 Si 0.5000 0.0000 0.0000  6 Ni 2.18-2.27
16 Si 0.0000 0.0000 0.5000  6 Ni 2.18-2.27
17 Si 0.0000 0.5000 0.0000  6 Ni 2.18-2.27
18 Pm 0.0000 0.0000 0.0000  6 Ni 3.08



No. 6
Computed, not measured: a geometry-optimized AcPmSi2Ni2 structure at the PBE-GGA level of DFT.

Calculated values
magnetic moment	0.0	μB per cell
energy relative to the elements, uncorrected	-683	meV per atom
DOS at the Fermi energy	5.2	states/eV/cell

Lattice parameters (Å, degrees): 4.0580 4.0580 8.7166 90.00 90.00 120.00
With the nearest neighbours (Å) after each atom.
Fractional coordinates of all 6 atoms:
1 Ni 0.3333 0.6667 0.7359  3 Si 2.34
2 Ni 0.6667 0.3333 0.2641  3 Si 2.34
3 Si 0.6667 0.3333 0.7349  3 Ni 2.34
4 Si 0.3333 0.6667 0.2651  3 Ni 2.34
5 Pm 0.0000 0.0000 0.5000  6 Si 3.11, 6 Ni 3.12
6 Ac 0.0000 0.0000 0.0000  6 Ni 3.28, 6 Si 3.29



No. 7
Computed, not measured: a geometry-optimized AcPmSiNi structure at the PBE-GGA level of DFT.

Calculated values
magnetic moment	0.0	μB per cell
energy relative to the elements, uncorrected	-274	meV per atom
DOS at the Fermi energy	1.7	states/eV/cell

Lattice parameters (Å, degrees): 5.2003 5.2003 5.2003 60.00 60.00 60.00
With the nearest neighbours (Å) after each atom.
Fractional coordinates of all 4 atoms:
1 Pm 0.5000 0.5000 0.5000  4 Ni 3.18, 4 Si 3.18
2 Si 0.2500 0.2500 0.2500  4 Ac 3.18, 4 Pm 3.18
3 Ac 0.0000 0.0000 0.0000  4 Ni 3.18, 4 Si 3.18
4 Ni 0.7500 0.7500 0.7500  4 Ac 3.18, 4 Pm 3.18



No. 8
Computed, not measured: a geometry-optimized AcPmTlNi structure at the PBE-GGA level of DFT.

Calculated values
magnetic moment	0.0	μB per cell
DOS at the Fermi energy	4.1	states/eV/cell
energy of formation from the pure elements	-0.1251	eV/atom

Lattice parameters (Å, degrees): 5.4280 5.4280 5.4280 60.00 60.00 60.00
With the nearest neighbours (Å) after each atom.
Fractional coordinates of all 4 atoms:
1 Ni 0.2500 0.2500 0.2500  4 Ac 3.32, 4 Pm 3.32
2 Ac 0.5000 0.5000 0.5000  4 Tl 3.32, 4 Ni 3.32
3 Tl 0.7500 0.7500 0.7500  4 Ac 3.32, 4 Pm 3.32
4 Pm 0.0000 0.0000 0.0000  4 Ni 3.32, 4 Tl 3.32



No. 9
Computed, not measured: a geometry-optimized AcPrNi2 structure at the PBE-GGA level of DFT.

Calculated values
magnetic moment	0.0	μB per cell
polymorph energy (0 for the lowest one)	0.111	eV per atom
DOS at the Fermi energy	2.3	states/eV/cell
energy of formation from the pure elements	-0.1553	eV/atom

Lattice parameters (Å, degrees): 4.1700 4.1700 7.1937 73.15 73.15 60.00
With the nearest neighbours (Å) after each atom.
Fractional coordinates of all 4 atoms:
1 Ni 0.2463 0.2463 0.2612  3 Pr 2.90, 3 Ac 2.99
2 Ni 0.7537 0.7537 0.7388  3 Pr 2.90, 3 Ac 2.99
3 Ac 0.0000 0.0000 0.0000  6 Ni 2.99
4 Pr 0.5000 0.5000 0.5000  6 Ni 2.90



No. 10
Computed, not measured: a geometry-optimized AcPrNi2 structure at the PBE-GGA level of DFT.

Calculated values
magnetic moment	0.0	μB per cell
polymorph energy (0 for the lowest one)	0.157	eV per atom
DOS at the Fermi energy	2.1	states/eV/cell
energy of formation from the pure elements	-0.1100	eV/atom

Lattice parameters (Å, degrees): 4.1184 4.1184 7.4139 73.87 73.87 60.00
With the nearest neighbours (Å) after each atom.
Fractional coordinates of all 4 atoms:
1 Ni 0.2426 0.2426 0.2721  3 Pr 2.90, 3 Ac 3.10, 1 Ni 3.22
2 Ni 0.0896 0.0896 0.7311  3 Pr 2.84, 3 Ac 2.99
3 Pr 0.4971 0.4971 0.5087  6 Ni 2.84-2.90
4 Ac 0.6706 0.6706 0.9882  6 Ni 2.99-3.10



No. 11
Computed, not measured: a geometry-optimized AcPrNi structure at the PBE-GGA level of DFT.

Calculated values
magnetic moment	0.0	μB per cell
polymorph energy (0 for the lowest one)	0.023	eV per atom
DOS at the Fermi energy	7.1	states/eV/cell
energy of formation from the pure elements	-0.1614	eV/atom

Lattice parameters (Å, degrees): 3.9105 7.3503 6.8410 102.97 106.69 74.58
With the nearest neighbours (Å) after each atom.
Fractional coordinates of all 6 atoms:
1 Pr 0.4894 0.2159 0.5908  4 Ni 2.95-3.02
2 Pr 0.3264 0.9986 0.0466  4 Ni 2.95-3.02
3 Ni 0.0230 0.9377 0.3810  1 Ni 2.66, 2 Pr 2.95, 2 Ac 2.97-2.98
4 Ni 0.7925 0.2770 0.2564  1 Ni 2.66, 2 Pr 2.95-2.96, 2 Ac 2.97-2.98
5 Ac 0.0799 0.5212 0.0769  3 Ni 2.97-3.29
6 Ac 0.7359 0.6933 0.5604  3 Ni 2.97-3.28



No. 12
Computed, not measured: a geometry-optimized AcPr3Ni structure at the PBE-GGA level of DFT.

Calculated values
magnetic moment	0.0	μB per cell
polymorph energy (0 for the lowest one)	0.000	eV per atom
DOS at the Fermi energy	13.2	states/eV/cell
energy of formation from the pure elements	-0.0939	eV/atom

Lattice parameters (Å, degrees): 3.9168 7.2124 12.1085 92.54 90.00 105.76
With the nearest neighbours (Å) after each atom.
Fractional coordinates of all 10 atoms:
1 Pr 0.9414 0.8828 0.6267  4 Ni 2.93-2.94
2 Pr 0.0586 0.1172 0.3733  4 Ni 2.93-2.94
3 Pr 0.7861 0.5723 0.3644  2 Ni 2.83
4 Pr 0.2139 0.4277 0.6356  2 Ni 2.83
5 Pr 0.4346 0.8692 0.1568  1 Ni 3.54, 6 Pr 3.64-3.92, 5 Ac 3.77-3.86
6 Pr 0.5654 0.1308 0.8432  1 Ni 3.54, 6 Pr 3.64-3.92, 5 Ac 3.77-3.86
7 Ni 0.5829 0.1658 0.5526  1 Ni 2.58, 2 Pr 2.83
8 Ni 0.4171 0.8342 0.4474  1 Ni 2.58, 2 Pr 2.83
9 Ac 0.1657 0.3314 0.0948  8 Pr 3.75-4.10, 4 Ac 3.88-3.92
10 Ac 0.8343 0.6686 0.9052  8 Pr 3.75-4.10, 4 Ac 3.88-3.92



No. 13
Computed, not measured: a geometry-optimized Ac12PrNi6 structure at the PBE-GGA level of DFT.

Calculated values
magnetic moment	0.0	μB per cell
DOS at the Fermi energy	21.7	states/eV/cell
energy of formation from the pure elements	-0.1669	eV/atom

Lattice parameters (Å, degrees): 9.3246 9.3246 9.3246 109.47 109.47 109.47
With the nearest neighbours (Å) after each atom.
Fractional coordinates of all 19 atoms:
1 Ac 0.3150 0.4982 0.1832  3 Ni 2.93-3.07
2 Ac 0.6850 0.5018 0.8168  3 Ni 2.93-3.07
3 Ac 0.6850 0.8683 0.1832  3 Ni 2.93-3.07
4 Ac 0.3150 0.1317 0.8168  3 Ni 2.93-3.07
5 Ac 0.1832 0.3150 0.4982  3 Ni 2.93-3.07
6 Ac 0.8168 0.3150 0.1317  3 Ni 2.93-3.07
7 Ac 0.1832 0.6850 0.8683  3 Ni 2.93-3.07
8 Ac 0.8168 0.6850 0.5018  3 Ni 2.93-3.07
9 Ac 0.5018 0.8168 0.6850  3 Ni 2.93-3.07
10 Ac 0.8683 0.1832 0.6850  3 Ni 2.93-3.07
11 Ac 0.4982 0.1832 0.3150  3 Ni 2.93-3.07
12 Ac 0.1317 0.8168 0.3150  3 Ni 2.93-3.07
13 Ni 0.3830 0.5000 0.8830  1 Ni 2.52
14 Ni 0.8830 0.3830 0.5000  1 Ni 2.52
15 Ni 0.5000 0.8830 0.3830  1 Ni 2.52
16 Ni 0.6170 0.5000 0.1170  1 Ni 2.52
17 Ni 0.5000 0.1170 0.6170  1 Ni 2.52
18 Ni 0.1170 0.6170 0.5000  1 Ni 2.52
19 Pr 0.0000 0.0000 0.0000  12 Ac 3.92



No. 14
Computed, not measured: a geometry-optimized AcPr2Ni2 structure at the PBE-GGA level of DFT.

Calculated values
magnetic moment	0.0	μB per cell
polymorph energy (0 for the lowest one)	0.058	eV per atom
DOS at the Fermi energy	6.2	states/eV/cell
energy of formation from the pure elements	-0.1466	eV/atom

Lattice parameters (Å, degrees): 4.0888 5.7931 6.2949 104.29 108.95 90.00
With the nearest neighbours (Å) after each atom.
Fractional coordinates of all 5 atoms:
1 Ni 0.2749 0.8936 0.5499  2 Ni 2.54, 2 Pr 2.83
2 Ni 0.7251 0.1064 0.4501  2 Ni 2.54, 2 Pr 2.83
3 Pr 0.3477 0.4078 0.6954  4 Ni 2.83-3.15
4 Pr 0.6523 0.5922 0.3046  4 Ni 2.83-3.15
5 Ac 0.0000 0.0000 0.0000  6 Ni 3.30-3.49



No. 15
Computed, not measured: a geometry-optimized AcPrNi structure at the PBE-GGA level of DFT.

Calculated values
magnetic moment	0.0	μB per cell
polymorph energy (0 for the lowest one)	0.000	eV per atom
DOS at the Fermi energy	6.4	states/eV/cell
energy of formation from the pure elements	-0.1840	eV/atom

Lattice parameters (Å, degrees): 3.9220 7.5423 7.3420 119.14 89.99 105.03
With the nearest neighbours (Å) after each atom.
Fractional coordinates of all 6 atoms:
1 Ac 0.7147 0.6045 0.9206  2 Ni 2.93
2 Ac 0.1631 0.4995 0.3682  2 Ni 2.93
3 Pr 0.4390 0.0520 0.8831  4 Ni 2.93
4 Pr 0.4389 0.0519 0.4057  4 Ni 2.93
5 Ni 0.8356 0.8458 0.5414  1 Ni 2.59
6 Ni 0.0421 0.2581 0.7475  1 Ni 2.59



No. 16
Computed, not measured: a geometry-optimized Ac3Pr4Ni4 structure at the PBE-GGA level of DFT.

Calculated values
magnetic moment	0.0	μB per cell
DOS at the Fermi energy	11.6	states/eV/cell
energy of formation from the pure elements	-0.1095	eV/atom

Lattice parameters (Å, degrees): 4.9224 7.8079 9.1346 115.30 105.63 90.00
With the nearest neighbours (Å) after each atom.
Fractional coordinates of all 11 atoms:
1 Pr 0.6701 0.4523 0.3403  4 Ni 2.85-3.05
2 Pr 0.6701 0.8879 0.3403  4 Ni 2.85-3.05
3 Pr 0.3299 0.5477 0.6597  4 Ni 2.85-3.05
4 Pr 0.3299 0.1121 0.6597  4 Ni 2.85-3.05
5 Ac 0.8945 0.8945 0.7890  4 Ni 3.22, 1 Ac 3.33, 4 Pr 3.46
6 Ac 0.0000 0.5000 0.0000  6 Ni 3.27-3.63
7 Ac 0.1055 0.1055 0.2110  4 Ni 3.22, 1 Ac 3.33, 4 Pr 3.46
8 Ni 0.5000 0.8425 0.0000  1 Ni 2.46
9 Ni 0.7923 0.2923 0.5846  6 Pr 2.93-3.05, 1 Ac 3.27
10 Ni 0.5000 0.1575 0.0000  1 Ni 2.46
11 Ni 0.2077 0.7077 0.4154  6 Pr 2.93-3.05, 1 Ac 3.27



No. 17
Computed, not measured: a geometry-optimized AcPrNi structure at the PBE-GGA level of DFT.

Calculated values
magnetic moment	0.0	μB per cell
polymorph energy (0 for the lowest one)	0.089	eV per atom
DOS at the Fermi energy	13.6	states/eV/cell
energy of formation from the pure elements	-0.0947	eV/atom

Lattice parameters (Å, degrees): 6.1514 6.6476 9.1458 90.00 90.00 104.47
With the nearest neighbours (Å) after each atom.
Fractional coordinates of all 12 atoms:
1 Ac 0.4513 0.8019 0.6469  2 Ni 2.84-2.90
2 Ac 0.0487 0.1981 0.1469  2 Ni 2.84-2.90
3 Ac 0.9513 0.8019 0.8531  2 Ni 2.84-2.90
4 Ac 0.5487 0.1981 0.3531  2 Ni 2.84-2.90
5 Pr 0.5713 0.2863 0.8878  3 Ni 2.84-3.05
6 Pr 0.9287 0.7137 0.3878  3 Ni 2.84-3.05
7 Pr 0.0713 0.2863 0.6122  3 Ni 2.84-3.05
8 Pr 0.4287 0.7137 0.1122  3 Ni 2.84-3.05
9 Ni 0.8443 0.5428 0.1031  3 Pr 2.84-3.05, 2 Ac 2.84-2.90, 1 Ni 2.85
10 Ni 0.3443 0.5428 0.3969  3 Pr 2.84-3.05, 2 Ac 2.84-2.90, 1 Ni 2.85
11 Ni 0.6557 0.4572 0.6031  3 Pr 2.84-3.05, 2 Ac 2.84-2.90, 1 Ni 2.85
12 Ni 0.1557 0.4572 0.8969  3 Pr 2.84-3.05, 2 Ac 2.84-2.90, 1 Ni 2.85



No. 18
Computed, not measured: a geometry-optimized AcPrNi2 structure at the PBE-GGA level of DFT.

Calculated values
magnetic moment	0.0	μB per cell
polymorph energy (0 for the lowest one)	0.000	eV per atom
DOS at the Fermi energy	2.7	states/eV/cell
energy of formation from the pure elements	-0.2667	eV/atom

Lattice parameters (Å, degrees): 3.9550 4.3840 5.8703 90.00 109.57 90.00
With the nearest neighbours (Å) after each atom.
Fractional coordinates of all 4 atoms:
1 Ac 0.4441 0.5000 0.4268  7 Ni 3.06-3.20
2 Pr 0.7160 0.0000 0.9709  6 Ni 2.96-3.03
3 Ni 0.1550 0.5000 0.8489  2 Ni 2.68
4 Ni 0.0159 0.0000 0.5714  2 Ni 2.68, 2 Pr 2.96-2.97



No. 19
Computed, not measured: a geometry-optimized AcPrNi structure at the PBE-GGA level of DFT.

Calculated values
magnetic moment	0.0	μB per cell
polymorph energy (0 for the lowest one)	0.114	eV per atom
DOS at the Fermi energy	4.4	states/eV/cell
energy of formation from the pure elements	-0.0696	eV/atom

Lattice parameters (Å, degrees): 3.6627 3.6627 7.1332 104.88 104.88 90.00
With the nearest neighbours (Å) after each atom.
Fractional coordinates of all 3 atoms:
1 Pr 0.0421 0.0421 0.0842  4 Ni 3.02
2 Ni 0.6591 0.6591 0.3182  4 Pr 3.02, 4 Ac 3.19
3 Ac 0.2988 0.2988 0.5976  4 Ni 3.19, 1 Pr 3.41



No. 20
Computed, not measured: a geometry-optimized AcPrNi structure at the PBE-GGA level of DFT.

Calculated values
magnetic moment	0.0	μB per cell
polymorph energy (0 for the lowest one)	0.073	eV per atom
DOS at the Fermi energy	3.1	states/eV/cell
energy of formation from the pure elements	-0.1109	eV/atom

Lattice parameters (Å, degrees): 4.1175 4.1175 6.6688 90.00 90.00 120.00
With the nearest neighbours (Å) after each atom.
Fractional coordinates of all 3 atoms:
1 Pr 0.0000 0.0000 0.0935  3 Ni 2.84
2 Ac 0.3333 0.6667 0.5812  3 Ni 2.93
3 Ni 0.6667 0.3333 0.3253  3 Pr 2.84, 3 Ac 2.93